--- w ---
The following is a GGA-PBE calculation of crystalline Ce3Zn2Pt4 at its relaxed geometry, from Alexandria via LeMat-Bulk.

Properties
crystal system	monoclinic
spin magnetization	3.6	Bohr magnetons per cell
calculated density	11.7	g/cm³

The structure in CIF format:
```
data_Ce3Zn2Pt4
_chemical_formula_sum 'Ce6 Zn4 Pt8'
_symmetry_space_group_name_H-M 'C 1 2/m 1'
_symmetry_Int_Tables_number 12
_cell_length_a 9.8913
_cell_length_b 4.4317
_cell_length_c 8.6508
_cell_angle_alpha 90.00
_cell_angle_beta 94.81
_cell_angle_gamma 90.00
loop_
_symmetry_equiv_pos_as_xyz
'x,y,z'
'-x,-y,-z'
'-x,y,-z'
'x,-y,z'
'x+1/2,y+1/2,z'
'-x+1/2,-y+1/2,-z'
'-x+1/2,y+1/2,-z'
'x+1/2,-y+1/2,z'
loop_
_atom_site_label
_atom_site_type_symbol
_atom_site_fract_x
_atom_site_fract_y
_atom_site_fract_z
Ce1 Ce 0.0000 0.0000 0.0000
Ce2 Ce 0.1168 0.5000 0.3895
Zn1 Zn 0.1844 0.5000 0.7820
Pt1 Pt 0.0907 0.0000 0.6369
Pt2 Pt 0.2068 0.5000 0.0906
```

---

--- x ---
The following is a GGA-PBE calculation of crystalline Ce3Zn2Pt4 at its relaxed geometry, from Alexandria via LeMat-Bulk.

Properties
crystal system	monoclinic
spin magnetization	3.0	Bohr magnetons per cell
calculated density	11.9	g/cm³

The structure in CIF format:
```
data_Ce3Zn2Pt4
_chemical_formula_sum 'Ce6 Zn4 Pt8'
_symmetry_space_group_name_H-M 'C 1 2/m 1'
_symmetry_Int_Tables_number 12
_cell_length_a 11.1479
_cell_length_b 4.3527
_cell_length_c 8.6871
_cell_angle_alpha 90.00
_cell_angle_beta 117.73
_cell_angle_gamma 90.00
loop_
_symmetry_equiv_pos_as_xyz
'x,y,z'
'-x,-y,-z'
'-x,y,-z'
'x,-y,z'
'x+1/2,y+1/2,z'
'-x+1/2,-y+1/2,-z'
'-x+1/2,y+1/2,-z'
'x+1/2,-y+1/2,z'
loop_
_atom_site_label
_atom_site_type_symbol
_atom_site_fract_x
_atom_site_fract_y
_atom_site_fract_z
Ce1 Ce 0.0000 0.0000 0.0000
Ce2 Ce 0.1402 0.5000 0.6908
Zn1 Zn 0.1636 0.5000 0.3358
Pt1 Pt 0.0714 0.0000 0.4000
Pt2 Pt 0.2091 0.5000 0.0703
```

---

Which of them is most stable? Easy: x.

---

--- w ---
The following is a GGA-PBE calculation of crystalline CeZn3Pt3 at its relaxed geometry, from Alexandria via LeMat-Bulk.

Properties
crystal system	trigonal
spin magnetization	1.6	Bohr magnetons per cell
calculated density	12.2	g/cm³

The structure in CIF format:
```
data_CeZn3Pt3
_chemical_formula_sum 'Ce6 Zn18 Pt18'
_symmetry_space_group_name_H-M 'R -3'
_symmetry_Int_Tables_number 148
_symmetry_space_group_name_Hall '-R 3'
_cell_length_a 6.7565
_cell_length_b 6.7565
_cell_length_c 19.0318
_cell_angle_alpha 90.00
_cell_angle_beta 90.00
_cell_angle_gamma 120.00
loop_
_atom_site_label
_atom_site_type_symbol
_atom_site_fract_x
_atom_site_fract_y
_atom_site_fract_z
Ce1 Ce 0.0000 0.0000 0.1585
Zn1 Zn 0.0464 0.6105 0.3677
Pt1 Pt 0.0029 0.7570 0.5648
```

---

--- x ---
The following is a GGA-PBE calculation of crystalline CeZn3Pt3 at its relaxed geometry, from Alexandria via LeMat-Bulk.

Properties
crystal system	cubic
spin magnetization	17.0	Bohr magnetons per cell
calculated density	7.4	g/cm³

The structure in CIF format:
```
data_CeZn3Pt3
_chemical_formula_sum 'Ce8 Zn24 Pt24'
_symmetry_space_group_name_H-M 'F m -3 m'
_symmetry_Int_Tables_number 225
_symmetry_space_group_name_Hall '-F 4 2 3'
_cell_length_a 11.8535
_cell_length_b 11.8535
_cell_length_c 11.8535
_cell_angle_alpha 90.00
_cell_angle_beta 90.00
_cell_angle_gamma 90.00
loop_
_atom_site_label
_atom_site_type_symbol
_atom_site_fract_x
_atom_site_fract_y
_atom_site_fract_z
Ce1 Ce 0.2500 0.2500 0.2500
Zn1 Zn 0.0000 0.0000 0.1488
Pt1 Pt 0.0000 0.0000 0.3422
```

---

Which of them is most stable? Easy: w.